CaZrMoO6 | PBE+U | optimized geometry

a b c (Å): 4.9580 4.9580 9.7563
angles (deg): 90.00 90.00 90.00
Atoms (fractional coordinates):
Ca 0.0000 0.0000 0.0000
Ca 0.5000 0.5000 0.5000
Zr 0.0000 0.0000 0.3347
Zr 0.5000 0.5000 0.8347
Mo 0.0000 0.0000 0.6682
Mo 0.5000 0.5000 0.1682
O 0.1769 0.1769 0.5126
O 0.2005 0.2005 0.8066
O 0.2226 0.2226 0.1848
O 0.2774 0.7226 0.6848
O 0.2995 0.7005 0.3066
O 0.3231 0.6769 0.0126
O 0.6769 0.3231 0.0126
O 0.7005 0.2995 0.3066
O 0.7226 0.2774 0.6848
O 0.7774 0.7774 0.1848
O 0.7995 0.7995 0.8066
O 0.8231 0.8231 0.5126

The calculation puts the total magnetization at 0.000 μB/f.u. For the final energy, the calculation gives -7.760 eV per atom.